1.
First-principles (PBE-GGA) data for an optimized crystal structure of CsInB3, as listed in Alexandria.

abc: 5.0271 5.0271 5.0271
angles: 90.00 90.00 90.00
Last column: nearest neighbours and their distance in Å.
Fractional positions:
Cs 0.0000 0.0000 0.0000  6 B 2.51
In 0.5000 0.5000 0.5000  12 B 3.55
B 0.0000 0.0000 0.5000  2 Cs 2.51
B 0.0000 0.5000 0.0000  2 Cs 2.51
B 0.5000 0.0000 0.0000  2 Cs 2.51

Computed properties:
Energy ... -1.61 eV/atom
Energy of formation ... 15.56 eV per formula unit

=====

2.
First-principles (PBE-GGA) data for an optimized crystal structure of TiSiAg2Br, as listed in Alexandria.

abc: 4.9308 4.9308 5.2069
angles: 90.00 90.00 90.00
Last column: nearest neighbours and their distance in Å.
Fractional positions:
Ti 0.0000 0.0000 0.0000  4 Si 3.49, 8 Ag 3.59
Si 0.5000 0.5000 0.0000  2 Br 2.60
Ag 0.0000 0.5000 0.5000  2 Br 2.47
Ag 0.5000 0.0000 0.5000  2 Br 2.47
Br 0.5000 0.5000 0.5000  4 Ag 2.47, 2 Si 2.60

Computed properties:
Raw formation energy ... 1283 meV/atom
Energy ... -2.86 eV/atom

=====

3.
First-principles (PBE-GGA) data for an optimized crystal structure of TeP2Os, as listed in Alexandria.

abc: 3.1942 3.1942 25.4716
angles: 90.00 90.00 120.00
Last column: nearest neighbours and their distance in Å.
Fractional positions:
Te 0.0000 0.0000 0.0000  6 Te 3.19, 6 P 3.24
Te 0.3333 0.6667 0.6667  6 Te 3.19, 6 P 3.24
Te 0.6667 0.3333 0.3333  6 Te 3.19, 6 P 3.24
P 0.0000 0.0000 0.2288  3 Os 2.43
P 0.0000 0.0000 0.7712  3 Os 2.43
P 0.3333 0.6667 0.4379  3 Os 2.43
P 0.3333 0.6667 0.8955  3 Os 2.43
P 0.6667 0.3333 0.1045  3 Os 2.43
P 0.6667 0.3333 0.5621  3 Os 2.43
Os 0.0000 0.0000 0.5000  6 P 2.43
Os 0.3333 0.6667 0.1667  6 P 2.43
Os 0.6667 0.3333 0.8333  6 P 2.43

Computed properties:
Raw formation energy ... 218 meV/atom
Energy ... -6.08 eV/atom
Energy above the most stable polymorph in this dataset ... 185 meV/atom

=====

4.
First-principles (PBE-GGA) data for an optimized crystal structure of PmTi2CoN4, as listed in Alexandria.

abc: 5.5507 5.5507 10.5655
angles: 90.00 90.00 147.13
Last column: nearest neighbours and their distance in Å.
Fractional positions:
Pm 0.1055 0.8945 0.7500  6 N 2.40-2.55
Pm 0.8945 0.1055 0.2500  6 N 2.40-2.55
Ti 0.3677 0.6323 0.5480  3 N 1.98-2.17
Ti 0.3677 0.6323 0.9520  3 N 1.98-2.17
Ti 0.6323 0.3677 0.0480  3 N 1.98-2.17
Ti 0.6323 0.3677 0.4520  3 N 1.98-2.17
Co 0.1584 0.8416 0.2500  4 N 1.86-1.88
Co 0.8416 0.1584 0.7500  4 N 1.86-1.88
N 0.0000 0.0000 0.0000  4 Ti 2.17
N 0.0000 0.0000 0.5000  4 Ti 2.17
N 0.2673 0.7327 0.1094  1 Co 1.88, 1 Ti 1.98
N 0.2673 0.7327 0.3906  1 Co 1.88, 1 Ti 1.98
N 0.4347 0.5653 0.7500  2 Co 1.86
N 0.5653 0.4347 0.2500  2 Co 1.86
N 0.7327 0.2673 0.6094  1 Co 1.88, 1 Ti 1.98
N 0.7327 0.2673 0.8906  1 Co 1.88, 1 Ti 1.98

Computed properties:
Raw formation energy ... -1148 meV/atom
Energy ... -8.77 eV/atom

=====

5.
First-principles (PBE-GGA) data for an optimized crystal structure of CeDyNi17, as listed in Alexandria.

abc: 6.2547 6.2547 6.2547
angles: 83.01 83.01 83.01
Last column: nearest neighbours and their distance in Å.
Fractional positions:
Ce 0.0000 0.0000 0.0000  19 Ni 2.89-3.19
Dy 0.3224 0.3224 0.3224  19 Ni 2.90-3.18
Ni 0.0067 0.0067 0.5076  9 Ni 2.40-2.57
Ni 0.0067 0.5076 0.0067  9 Ni 2.40-2.57
Ni 0.1616 0.6591 0.6591  10 Ni 2.37-2.53
Ni 0.3146 0.3146 0.8156  9 Ni 2.39-2.59
Ni 0.3146 0.8156 0.3146  9 Ni 2.39-2.59
Ni 0.3663 0.6611 0.9543  8 Ni 2.37-2.53
Ni 0.3663 0.9543 0.6611  8 Ni 2.37-2.53
Ni 0.5076 0.0067 0.0067  9 Ni 2.40-2.57
Ni 0.5622 0.5622 0.5622  7 Ni 2.40-2.59
Ni 0.6591 0.1616 0.6591  10 Ni 2.37-2.53
Ni 0.6591 0.6591 0.1616  10 Ni 2.37-2.53
Ni 0.6611 0.3663 0.9543  8 Ni 2.37-2.53
Ni 0.6611 0.9543 0.3663  8 Ni 2.37-2.53
Ni 0.7611 0.7611 0.7611  7 Ni 2.40-2.57
Ni 0.8156 0.3146 0.3146  9 Ni 2.39-2.59
Ni 0.9543 0.3663 0.6611  8 Ni 2.37-2.53
Ni 0.9543 0.6611 0.3663  8 Ni 2.37-2.53

Computed properties:
Energy ... -5.93 eV/atom
Energy of formation ... -3.77 eV per formula unit

=====

6.
First-principles (PBE-GGA) data for an optimized crystal structure of Al2CrTe, as listed in Alexandria.

abc: 3.9735 3.9735 5.0311
angles: 90.00 90.00 90.00
Last column: nearest neighbours and their distance in Å.
Fractional positions:
Al 0.0000 0.5000 0.0000  4 Al 2.81
Al 0.5000 0.0000 0.0000  4 Al 2.81
Cr 0.0000 0.0000 0.5000  4 Te 2.81
Te 0.5000 0.5000 0.5000  4 Cr 2.81

Computed properties:
Raw formation energy ... 317 meV/atom
Energy ... -4.75 eV/atom

=====

7.
First-principles (PBE-GGA) data for an optimized crystal structure of CsAgCl, as listed in Alexandria.

abc: 4.2502 4.3683 12.5266
angles: 90.00 90.00 90.00
Last column: nearest neighbours and their distance in Å.
Fractional positions:
Cs 0.0000 0.0000 0.0000  4 Cl 3.46
Cs 0.0000 0.5000 0.5000  4 Cl 3.46
Ag 0.5000 0.0000 0.7271  2 Cl 2.81
Ag 0.5000 0.5000 0.2271  2 Cl 2.81
Cl 0.5000 0.0000 0.3684  2 Ag 2.81
Cl 0.5000 0.5000 0.8684  2 Ag 2.81

Computed properties:
Raw formation energy ... -584 meV/atom
Energy ... -2.43 eV/atom
Energy above the most stable polymorph in this dataset ... 376 meV/atom

=====

8.
First-principles (PBE-GGA) data for an optimized crystal structure of Na3Hf3AlSe8, as listed in Alexandria.

abc: 8.4157 8.4157 8.4157
angles: 54.00 54.00 54.00
Last column: nearest neighbours and their distance in Å.
Fractional positions:
Na 0.0000 0.5000 0.5000  6 Se 2.97-3.01
Na 0.5000 0.0000 0.5000  6 Se 2.97-3.01
Na 0.5000 0.5000 0.0000  6 Se 2.97-3.01
Hf 0.0000 0.0000 0.5000  6 Se 2.70-2.72
Hf 0.0000 0.5000 0.0000  6 Se 2.70-2.72
Hf 0.5000 0.0000 0.0000  6 Se 2.70-2.72
Al 0.5000 0.5000 0.5000  6 Se 2.62
Se 0.2407 0.2407 0.2407  3 Hf 2.72, 3 Na 2.97
Se 0.2455 0.7323 0.7323  1 Al 2.62, 2 Hf 2.70
Se 0.2677 0.2677 0.7545  1 Al 2.62, 2 Hf 2.70
Se 0.2677 0.7545 0.2677  1 Al 2.62, 2 Hf 2.70
Se 0.7323 0.2455 0.7323  1 Al 2.62, 2 Hf 2.70
Se 0.7323 0.7323 0.2455  1 Al 2.62, 2 Hf 2.70
Se 0.7545 0.2677 0.2677  1 Al 2.62, 2 Hf 2.70
Se 0.7593 0.7593 0.7593  3 Hf 2.72, 3 Na 2.97

Computed properties:
Raw formation energy ... -1206 meV/atom
Energy ... -5.57 eV/atom

=====

9.
First-principles (PBE-GGA) data for an optimized crystal structure of Dy2TmZrAs4, as listed in Alexandria.

abc: 6.9818 4.0288 6.9848
angles: 90.00 109.31 90.00
Last column: nearest neighbours and their distance in Å.
Fractional positions:
Dy 0.0000 0.0000 0.0000  6 As 2.91
Dy 0.5000 0.5000 0.0000  6 As 2.86-2.87
Tm 0.0000 0.5000 0.5000  6 As 2.84
Zr 0.5000 0.0000 0.5000  6 As 2.79-2.80
As 0.2526 0.0000 0.7424  1 Zr 2.79, 2 Tm 2.84, 3 Dy 2.87-2.91
As 0.2582 0.5000 0.2607  2 Zr 2.80, 1 Tm 2.84, 3 Dy 2.86-2.91
As 0.7418 0.5000 0.7393  2 Zr 2.80, 1 Tm 2.84, 3 Dy 2.86-2.91
As 0.7474 0.0000 0.2576  1 Zr 2.79, 2 Tm 2.84, 3 Dy 2.87-2.91

Computed properties:
Energy ... -6.53 eV/atom
Energy of formation ... -11.41 eV per formula unit

=====

10.
First-principles (PBE-GGA) data for an optimized crystal structure of CsNdZnI6, as listed in Alexandria.

abc: 7.8305 7.8305 8.6950
angles: 90.00 90.00 120.00
Last column: nearest neighbours and their distance in Å.
Fractional positions:
Cs 0.0000 0.0000 0.0000  6 I 3.92
Nd 0.3333 0.6667 0.5000  6 I 3.13-3.14
Zn 0.6667 0.3333 0.5000  6 I 2.90
I 0.3828 0.0227 0.6988  1 Zn 2.90, 1 Nd 3.13
I 0.3828 0.3602 0.3012  1 Zn 2.90, 1 Nd 3.14
I 0.6398 0.0227 0.3012  1 Zn 2.90, 1 Nd 3.13
I 0.6398 0.6172 0.6988  1 Zn 2.90, 1 Nd 3.14
I 0.9773 0.3602 0.6988  1 Zn 2.90, 1 Nd 3.13
I 0.9773 0.6172 0.3012  1 Zn 2.90, 1 Nd 3.13

Computed properties:
Raw formation energy ... -1113 meV/atom
Energy ... -2.91 eV/atom

=====

11.
First-principles (PBE-GGA) data for an optimized crystal structure of Sm5ThSn5, as listed in Alexandria.

abc: 7.8476 7.8476 8.6706
angles: 105.78 105.78 47.44
Last column: nearest neighbours and their distance in Å.
Fractional positions:
Sm 0.0000 0.0000 0.0000  4 Sn 3.10-3.11
Sm 0.3301 0.3301 0.6618  5 Sn 3.16-3.17
Sm 0.3342 0.3342 0.1660  5 Sn 3.13-3.16
Sm 0.6658 0.6658 0.8340  5 Sn 3.13-3.16
Sm 0.6699 0.6699 0.3382  5 Sn 3.16-3.17
Th 0.0000 0.0000 0.5000  6 Sn 3.16-3.18
Sn 0.1649 0.1649 0.3254  5 Sm 3.10-3.17, 1 Th 3.17
Sn 0.1662 0.1662 0.8377  5 Sm 3.11-3.16, 1 Th 3.18
Sn 0.5000 0.5000 0.5000  4 Sm 3.16, 2 Th 3.16
Sn 0.8338 0.8338 0.1623  5 Sm 3.11-3.16, 1 Th 3.18
Sn 0.8351 0.8351 0.6746  5 Sm 3.10-3.17, 1 Th 3.17

Computed properties:
Energy ... -5.10 eV/atom
Energy of formation ... -5.08 eV per formula unit

=====

12.
First-principles (PBE-GGA) data for an optimized crystal structure of ZrGaCuGe2, as listed in Alexandria.

abc: 4.4635 4.4635 5.1951
angles: 90.00 90.00 90.00
Last column: nearest neighbours and their distance in Å.
Fractional positions:
Zr 0.0000 0.0000 0.0000  2 Cu 2.60
Ga 0.5000 0.5000 0.0000  4 Zr 3.16, 8 Ge 3.42
Cu 0.0000 0.0000 0.5000  4 Ge 2.23
Ge 0.0000 0.5000 0.5000  2 Cu 2.23
Ge 0.5000 0.0000 0.5000  2 Cu 2.23

Computed properties:
Energy ... -4.67 eV/atom
Energy of formation ... 1.54 eV per formula unit

=====

Question: What is the energy in the first record?
Answer: -1.61 eV/atom